A plane-wave DFT calculation with PBE was carried out for a geometry-optimized Dy2YTm8 structure.

a = 9.463 Å, b = 9.463 Å, c = 5.840 Å
α = 107.13°, β = 107.13°, γ = 122.81°
Positions (direct):
1 Dy 0.189 0.811 0.000
2 Dy 0.811 0.189 0.000
3 Y 0.500 0.500 0.500
4 Tm 0.037 0.037 0.276
5 Tm 0.148 0.402 0.790
6 Tm 0.298 0.702 0.500
7 Tm 0.402 0.148 0.790
8 Tm 0.598 0.852 0.210
9 Tm 0.702 0.298 0.500
10 Tm 0.852 0.598 0.210
11 Tm 0.963 0.963 0.724

Results
Raw total energy   -0.332 Ry per atom
Space group   C2/m
DFT formation energy   15 kJ/mol of atoms
Energy above the lowest structure with this stoichiometry   0.034 eV/atom